Entry 1:
Computed, not measured: a relaxed structure of AcTlInHg at the PBE level of DFT.

Lattice parameters (Å, degrees): 7.813 7.813 7.813 90.00 90.00 90.00
Fractional positions:
Ac: 0.000 0.000 0.000
Ac: 0.000 0.500 0.500
Ac: 0.500 0.000 0.500
Ac: 0.500 0.500 0.000
Tl: 0.250 0.250 0.750
Tl: 0.250 0.750 0.250
Tl: 0.750 0.250 0.250
Tl: 0.750 0.750 0.750
In: 0.000 0.000 0.500
In: 0.000 0.500 0.000
In: 0.500 0.000 0.000
In: 0.500 0.500 0.500
Hg: 0.250 0.250 0.250
Hg: 0.250 0.750 0.750
Hg: 0.750 0.250 0.750
Hg: 0.750 0.750 0.250

Output
* energy relative to the elements: -0.33 eV/atom
* energy relative to the lowest polymorph listed for this composition: 2 meV/atom
* electronic total energy: -43.33 eV per cell
* crystal system: cubic
* total magnetic moment: 0.000 μB per atom


Entry 2:
Computed, not measured: a relaxed structure of Er2Al5Pd4 at the PBE level of DFT.

Lattice parameters (Å, degrees): 9.373 8.605 5.321 80.89 65.02 34.09
Fractional positions:
Er: 0.124 0.124 0.876
Er: 0.876 0.876 0.124
Al: 0.000 0.000 0.500
Al: 0.250 0.250 0.250
Al: 0.500 0.500 0.000
Al: 0.500 0.500 0.500
Al: 0.750 0.750 0.750
Pd: 0.208 0.533 0.467
Pd: 0.467 0.792 0.208
Pd: 0.533 0.208 0.792
Pd: 0.792 0.467 0.533

Output
* energy relative to the elements: -0.82 eV/atom
* electronic total energy: -57.58 eV per cell
* crystal system: orthorhombic
* total magnetic moment: 0.000 μB per atom


Number 1 is which compound?
AcTlInHg


The highest energy relative to the elements belongs to which entry?
AcTlInHg